The following is a DFT calculation (GGA-PBE) of LiOsPt4 after structural relaxation.

Cell: 5.2212 5.2212 5.2212 Å, 60.00 60.00 60.00°
Sites, in units of the cell vectors:
Pt: 0.3751 0.3751 0.3751
Pt: 0.8748 0.3751 0.3751
Pt: 0.3751 0.3751 0.8748
Pt: 0.3751 0.8748 0.3751
Li: 0.7500 0.7500 0.7500
Os: 0.0000 0.0000 0.0000

## Properties
- Calculated density: 16127 kg/m3
- Space group: F-43m (216)
- Crystal system: cubic
- M_tot: 3.1 Bohr magnetons per cell
- Energy of formation: 0.310 eV/atom